# 1
Below is BaAl2Br after structural relaxation, with properties calculated at the PBE level.

Unit cell a=6.3550 b=6.3550 c=6.3550 alpha=136.45 beta=127.85 gamma=70.22
Atoms (fractional coordinates):
1 Ba 0.5276 0.5276 0.0000
2 Br 0.3021 0.8021 0.5000
3 Al 0.8926 0.8926 0.0000
4 Al 0.7776 0.2776 0.5000

Output
Crystal system: orthorhombic
Energy relative to the lowest polymorph listed for this composition in meV/atom: 247
E_form (uncorrected) in eV/atom: -0.2855

---

# 2
Below is PuNpUMn after structural relaxation, with properties calculated at the PBE level.

Unit cell a=4.6425 b=4.6425 c=4.6425 alpha=60.00 beta=60.00 gamma=60.00
Last column: magnetic moment on the atom in μB.
Atoms (fractional coordinates):
1 Np 0.2500 0.2500 0.2500  -2.52
2 Mn 0.5000 0.5000 0.5000  -1.58
3 U 0.0000 0.0000 0.0000  -0.13
4 Pu 0.7500 0.7500 0.7500  4.53

Output
Crystal system: cubic
Energy of formation in meV/atom: 188

---

# 3
Below is PmTm3Th2 after structural relaxation, with properties calculated at the PBE level.

Unit cell a=3.4416 b=10.1222 c=11.8080 alpha=108.04 beta=98.38 gamma=90.00
Atoms (fractional coordinates):
1 Pm 0.3139 0.9634 0.6278
2 Pm 0.6861 0.0366 0.3722
3 Tm 0.3064 0.2901 0.6128
4 Tm 0.0668 0.7688 0.1335
5 Tm 0.4418 0.5560 0.8835
6 Tm 0.6936 0.7099 0.3872
7 Tm 0.5582 0.4440 0.1165
8 Tm 0.9332 0.2312 0.8665
9 Th 0.3093 0.6232 0.6186
10 Th 0.6907 0.3768 0.3814
11 Th 0.9298 0.8618 0.8597
12 Th 0.0702 0.1382 0.1403

Output
Crystal system: monoclinic
Energy relative to the lowest polymorph listed for this composition in meV/atom: 0
Energy of formation in meV/atom: 156

---

# 4
Below is YCo4B4 after structural relaxation, with properties calculated at the PBE level.

Unit cell a=3.8096 b=6.9473 c=6.9473 alpha=90.00 beta=90.00 gamma=90.00
Atoms (fractional coordinates):
1 Y 0.0000 0.0000 0.0000
2 Y 0.5000 0.5000 0.5000
3 Co 0.3911 0.3584 0.8819
4 Co 0.8911 0.6181 0.8584
5 Co 0.3911 0.6416 0.1181
6 Co 0.1089 0.1416 0.6181
7 Co 0.6089 0.8819 0.6416
8 Co 0.1089 0.8584 0.3819
9 Co 0.8911 0.3819 0.1416
10 Co 0.6089 0.1181 0.3584
11 B 0.6055 0.8371 0.2992
12 B 0.6055 0.1629 0.7008
13 B 0.1055 0.7992 0.6629
14 B 0.8945 0.3371 0.7992
15 B 0.8945 0.6629 0.2008
16 B 0.3945 0.2992 0.1629
17 B 0.3945 0.7008 0.8371
18 B 0.1055 0.2008 0.3371

Output
Crystal system: tetragonal
Energy relative to the lowest polymorph listed for this composition in meV/atom: 0
Energy of formation in meV/atom: -513

---

# 5
Below is CoTcRu2 after structural relaxation, with properties calculated at the PBE level.

Unit cell a=2.6692 b=2.6692 c=7.4494 alpha=90.00 beta=90.00 gamma=90.00
Last column: magnetic moment on the atom in μB.
Atoms (fractional coordinates):
1 Co 0.5000 0.5000 0.7495  0.45
2 Ru 0.0000 0.0000 0.9916  0.10
3 Ru 0.5000 0.5000 0.2458  -0.06
4 Tc 0.0000 0.0000 0.5131  0.00

Output
Crystal system: tetragonal
Energy relative to the lowest polymorph listed for this composition in meV/atom: 32
Energy of formation in meV/atom: 119

---

# 6
Below is SmY4Ho6 after structural relaxation, with properties calculated at the PBE level.

Unit cell a=9.7153 b=9.7153 c=9.7153 alpha=56.92 beta=140.61 gamma=140.61
Atoms (fractional coordinates):
1 Sm 0.0000 0.0000 0.0000
2 Y 0.0000 0.6387 0.0126
3 Y 0.3740 0.3613 0.3613
4 Y 0.0000 0.0126 0.6387
5 Y 0.6260 0.9874 0.9874
6 Ho 0.0000 0.8084 0.4510
7 Ho 0.0000 0.4510 0.8084
8 Ho 0.3574 0.5490 0.5490
9 Ho 0.5000 0.5000 0.0000
10 Ho 0.6426 0.1916 0.1916
11 Ho 0.5000 0.0000 0.5000

Output
Crystal system: tetragonal
Energy of formation in meV/atom: 307

---

# 7
Below is Y2BeGe2Rh5 after structural relaxation, with properties calculated at the PBE level.

Unit cell a=3.4624 b=9.7396 c=9.7396 alpha=90.00 beta=90.00 gamma=90.00
Atoms (fractional coordinates):
1 Y 0.0000 0.6722 0.1722
2 Y 0.0000 0.3278 0.8278
3 Y 0.0000 0.1722 0.3278
4 Y 0.0000 0.8278 0.6722
5 Be 0.0000 0.0000 0.0000
6 Be 0.0000 0.5000 0.5000
7 Ge 0.0000 0.1289 0.6289
8 Ge 0.0000 0.8711 0.3711
9 Ge 0.0000 0.6289 0.8711
10 Ge 0.0000 0.3711 0.1289
11 Rh 0.5000 0.1990 0.0636
12 Rh 0.5000 0.8010 0.9364
13 Rh 0.5000 0.0636 0.8010
14 Rh 0.5000 0.6990 0.4364
15 Rh 0.5000 0.9364 0.1990
16 Rh 0.5000 0.3010 0.5636
17 Rh 0.5000 0.5636 0.6990
18 Rh 0.5000 0.4364 0.3010
19 Rh 0.5000 0.5000 0.0000
20 Rh 0.5000 0.0000 0.5000

Output
Crystal system: tetragonal
Energy of formation in meV/atom: -681

---

# 8
Below is Nd2Y3Ho after structural relaxation, with properties calculated at the PBE level.

Unit cell a=6.0526 b=12.3680 c=12.3680 alpha=46.67 beta=42.83 gamma=42.83
Atoms (fractional coordinates):
1 Nd 0.6513 0.5846 0.1488
2 Nd 0.8487 0.8512 0.4154
3 Nd 0.1513 0.1488 0.5846
4 Nd 0.3487 0.4154 0.8512
5 Y 0.7500 0.6099 0.3901
6 Y 0.2500 0.3901 0.6099
7 Y 0.9391 0.8532 0.6849
8 Y 0.5609 0.3151 0.1468
9 Y 0.0609 0.1468 0.3151
10 Y 0.4391 0.6849 0.8532
11 Ho 0.5000 0.0000 0.0000
12 Ho 0.0000 0.0000 0.0000

Output
Crystal system: monoclinic
Energy of formation in meV/atom: 152

---

# 9
Below is ThCuAu after structural relaxation, with properties calculated at the PBE level.

Unit cell a=4.6189 b=4.6189 c=4.6189 alpha=60.00 beta=60.00 gamma=60.00
Atoms (fractional coordinates):
1 Au 0.5000 0.5000 0.5000
2 Cu 0.2500 0.2500 0.2500
3 Th 0.0000 0.0000 0.0000

Output
Crystal system: cubic
Energy relative to the lowest polymorph listed for this composition in meV/atom: 205
Energy of formation in meV/atom: -285

---

# 10
Below is AcDy2Tm6 after structural relaxation, with properties calculated at the PBE level.

Unit cell a=3.6001 b=3.6001 c=26.0226 alpha=90.00 beta=90.00 gamma=120.00
Last column: magnetic moment on the atom in μB.
Atoms (fractional coordinates):
1 Ac 0.3333 0.6667 0.0000  0.01
2 Dy 0.6667 0.3333 0.3304  -0.13
3 Dy 0.6667 0.3333 0.6696  -0.13
4 Tm 0.6667 0.3333 0.8818  -0.05
5 Tm 0.3333 0.6667 0.4362  -0.26
6 Tm 0.3333 0.6667 0.7772  -0.07
7 Tm 0.3333 0.6667 0.2228  -0.07
8 Tm 0.3333 0.6667 0.5638  -0.26
9 Tm 0.6667 0.3333 0.1182  -0.05

Output
Crystal system: hexagonal
Energy relative to the lowest polymorph listed for this composition in meV/atom: 0
Energy of formation in meV/atom: 86

---

# 11
Below is NdSmPdRh after structural relaxation, with properties calculated at the PBE level.

Unit cell a=3.8478 b=4.5056 c=5.7272 alpha=90.00 beta=109.63 gamma=90.00
Atoms (fractional coordinates):
1 Nd 0.1413 0.0000 0.2826
2 Sm 0.8643 0.5000 0.7286
3 Pd 0.5842 0.5000 0.1684
4 Rh 0.4102 0.0000 0.8203

Output
Crystal system: orthorhombic
Energy relative to the lowest polymorph listed for this composition in meV/atom: 0
Energy of formation in meV/atom: -775

---

# 12
Below is PrNpCoS4 after structural relaxation, with properties calculated at the PBE level.

Unit cell a=6.4835 b=5.7067 c=7.8553 alpha=90.00 beta=106.34 gamma=90.00
Last column: magnetic moment on the atom in μB.
Atoms (fractional coordinates):
1 Pr 0.7368 0.7500 0.9345  0.01
2 Pr 0.2632 0.2500 0.0655  0.01
3 Np 0.7504 0.7500 0.4427  3.56
4 Np 0.2496 0.2500 0.5573  3.56
5 Co 0.2342 0.7500 0.3253  -1.17
6 Co 0.7658 0.2500 0.6747  -1.17
7 S 0.0174 0.5098 0.7458  -0.05
8 S 0.9826 0.0098 0.2542  -0.05
9 S 0.9826 0.4902 0.2542  -0.05
10 S 0.0174 0.9902 0.7458  -0.05
11 S 0.4286 0.7500 0.1297  -0.08
12 S 0.5714 0.2500 0.8703  -0.08
13 S 0.4240 0.7500 0.5993  -0.12
14 S 0.5760 0.2500 0.4007  -0.12

Output
Crystal system: monoclinic
E_form (uncorrected) in eV/atom: -1.2908